#P
An optimized crystal structure of Na3SnPCO7. Source: Alexandria via LeMat-Bulk, functional PBE.

Computed properties:
M_tot: 0.0 μB/f.u.
SG: P2_1

POSCAR file:
```
Na3SnPCO7
1.0
5.5769 0.0000 0.0000
0.0000 7.0001 0.0000
-1.3052 0.0000 9.3543
Na Sn P C O
6 2 2 2 14
direct
0.0108 0.0000 0.0174 Na
0.4625 0.9163 0.4974 Na
0.4684 0.7447 0.8597 Na
0.5316 0.2447 0.1403 Na
0.5375 0.4163 0.5026 Na
0.9892 0.5000 0.9826 Na
0.0751 0.1852 0.6649 Sn
0.9249 0.6852 0.3351 Sn
0.0163 0.2182 0.3028 P
0.9837 0.7182 0.6972 P
0.4863 0.7047 0.1578 C
0.5137 0.2047 0.8422 C
0.1255 0.5321 0.7433 O
0.1406 0.2966 0.1791 O
0.1798 0.8641 0.6564 O
0.2131 0.1882 0.4374 O
0.2837 0.7415 0.0831 O
0.3273 0.1460 0.9008 O
0.4773 0.2242 0.7016 O
0.5227 0.7242 0.2984 O
0.6727 0.6460 0.0992 O
0.7163 0.2415 0.9169 O
0.7869 0.6882 0.5626 O
0.8202 0.3641 0.3436 O
0.8594 0.7966 0.8209 O
0.8745 0.0321 0.2567 O
```

=====

#Q
An optimized crystal structure of Na3SnPCO7. Source: Alexandria via LeMat-Bulk, functional PBE.

Computed properties:
M_tot: 0.0 μB/f.u.
SG: P2_1/m

POSCAR file:
```
Na3SnPCO7
1.0
5.6684 0.0000 0.0000
0.0000 7.0922 0.0000
-1.4161 0.0000 9.4727
Na Sn P C O
6 2 2 2 14
direct
0.2284 0.0137 0.2695 Na
0.2284 0.4863 0.2695 Na
0.2523 0.7500 0.9068 Na
0.7477 0.2500 0.0932 Na
0.7716 0.5137 0.7305 Na
0.7716 0.9863 0.7305 Na
0.2276 0.2500 0.6492 Sn
0.7724 0.7500 0.3508 Sn
0.2545 0.7500 0.6059 P
0.7455 0.2500 0.3941 P
0.2045 0.2500 0.9493 C
0.7955 0.7500 0.0507 C
0.0307 0.2500 0.8388 O
0.1486 0.2500 0.0743 O
0.1551 0.5761 0.6797 O
0.1551 0.9239 0.6797 O
0.1581 0.7500 0.4428 O
0.4221 0.2500 0.9237 O
0.4724 0.2500 0.3715 O
0.5276 0.7500 0.6285 O
0.5779 0.7500 0.0763 O
0.8419 0.2500 0.5572 O
0.8449 0.0761 0.3203 O
0.8449 0.4239 0.3203 O
0.8514 0.7500 0.9257 O
0.9693 0.7500 0.1612 O
```

=====

Calculated relative energies: #P 0; #Q 7, given in meV/atom

=====

#P
An optimized crystal structure of Na3TlPCO7. Source: Alexandria via LeMat-Bulk, functional PBE.

Computed properties:
M_tot: 0.0 μB/f.u.
SG: P2_1/m

POSCAR file:
```
Na3TlPCO7
1.0
5.3309 0.0000 0.0000
0.0000 7.1246 0.0000
-0.0829 0.0000 9.4694
Na Tl P C O
6 2 2 2 14
direct
0.2423 0.0021 0.2481 Na
0.2423 0.4979 0.2481 Na
0.2430 0.2500 0.9190 Na
0.7570 0.7500 0.0810 Na
0.7577 0.5021 0.7519 Na
0.7577 0.9979 0.7519 Na
0.2394 0.7500 0.6190 Tl
0.7606 0.2500 0.3810 Tl
0.2861 0.2500 0.6012 P
0.7139 0.7500 0.3988 P
0.2611 0.7500 0.9419 C
0.7389 0.2500 0.0581 C
0.0380 0.7500 0.8849 O
0.1735 0.0783 0.6815 O
0.1735 0.4217 0.6815 O
0.2230 0.2500 0.4396 O
0.2878 0.7500 0.0785 O
0.4230 0.7500 0.3808 O
0.4634 0.7500 0.8637 O
0.5366 0.2500 0.1363 O
0.5770 0.2500 0.6192 O
0.7122 0.2500 0.9215 O
0.7770 0.7500 0.5604 O
0.8265 0.5783 0.3185 O
0.8265 0.9217 0.3185 O
0.9620 0.2500 0.1151 O
```

=====

#Q
An optimized crystal structure of Na3TlPCO7. Source: Alexandria via LeMat-Bulk, functional PBE.

Computed properties:
M_tot: 0.0 μB/f.u.
SG: P2_1

POSCAR file:
```
Na3TlPCO7
1.0
5.3606 0.0000 0.0000
0.0000 7.1056 0.0000
-0.2426 0.0000 9.5140
Na Tl P C O
6 2 2 2 14
direct
0.0000 0.0000 0.0002 Na
0.0000 0.5000 0.9998 Na
0.4634 0.2513 0.1712 Na
0.4972 0.9884 0.4876 Na
0.5028 0.4884 0.5124 Na
0.5366 0.7513 0.8288 Na
0.0011 0.2482 0.7017 Tl
0.9989 0.7482 0.2983 Tl
0.0021 0.2487 0.3351 P
0.9979 0.7487 0.6649 P
0.4976 0.2533 0.8735 C
0.5024 0.7533 0.1265 C
0.0706 0.0771 0.2396 O
0.0709 0.4209 0.2399 O
0.1815 0.2476 0.4672 O
0.2743 0.7487 0.6243 O
0.2793 0.2499 0.9327 O
0.3032 0.7504 0.0467 O
0.4930 0.7593 0.2635 O
0.5070 0.2593 0.7365 O
0.6968 0.2504 0.9533 O
0.7207 0.7499 0.0673 O
0.7257 0.2487 0.3757 O
0.8185 0.7476 0.5328 O
0.9294 0.5771 0.7604 O
0.9291 0.9209 0.7601 O
```

=====

Calculated relative energies: #P 6; #Q 0, given in meV/atom